1.
Density functional theory data (PBE) for YP2Br after structural relaxation.

The formation energy without anion corrections is -0.20 eV per atom. The calculation puts the energy above the most stable polymorph in this dataset at 0.702 eV/atom.

The space group is I-4m2 (No. 119) and the conventional cell measures 4.045, 4.045 and 10.230 Å, with angles of 90.00, 90.00 and 90.00 degrees. The inequivalent atoms are Y at (0.000, 0.000, 0.000), P at (0.000, 0.000, 0.500), P at (0.000, 0.500, 0.250) and Br at (0.000, 0.500, 0.750).

2.
Density functional theory data (PBE) for MnPt2Rh after structural relaxation.

The value obtained for the formation enthalpy at 0 K is 0.19 eV per atom.

The space group is I-42d (No. 122) and the conventional cell measures 6.991, 6.991 and 5.304 Å, with angles of 90.00, 90.00 and 90.00 degrees. The inequivalent atoms are Mn at (0.000, 0.000, 0.000), Pt at (0.236, 0.250, 0.125) and Rh at (0.000, 0.000, 0.500).

3.
Density functional theory data (PBE) for CoRuPt6 after structural relaxation.

The value obtained for the formation enthalpy at 0 K is -0.02 eV per atom.

The space group is C2/m (No. 12) and the conventional cell measures 8.795, 3.900 and 7.772 Å, with angles of 90.00, 116.26 and 90.00 degrees. The inequivalent atoms are Co at (0.000, 0.000, 0.000), Ru at (0.000, 0.000, 0.500), Pt at (0.000, 0.500, 0.249), Pt at (0.248, 0.000, 0.372) and Pt at (0.249, 0.500, 0.123).

4.
Density functional theory data (PBE) for Li5PmMg7 after structural relaxation.

The value obtained for the formation enthalpy at 0 K is -0.04 eV per atom.

The space group is Imm2 (No. 44) and the conventional cell measures 5.430, 10.252 and 10.325 Å, with angles of 90.00, 90.00 and 90.00 degrees. The inequivalent atoms are Li at (0.000, 0.000, 0.000), Li at (0.249, 0.248, 0.967), Pm at (0.000, 0.500, 0.720), Mg at (0.000, 0.000, 0.432), Mg at (0.000, 0.149, 0.716), Mg at (0.000, 0.208, 0.216), Mg at (0.000, 0.500, 0.071) and Mg at (0.000, 0.500, 0.368).

5.
Density functional theory data (PBE) for Ce4Sb2H after structural relaxation.

The calculation puts the energy above the most stable polymorph in this dataset at 0.028 eV/atom.

The space group is P2_1/m (No. 11) and the conventional cell measures 5.918, 6.554 and 9.160 Å, with angles of 90.00, 99.87 and 90.00 degrees. The inequivalent atoms are Ce at (0.185, 0.250, 0.062), Ce at (0.207, 0.750, 0.370), Ce at (0.295, 0.535, 0.726), Sb at (0.236, 0.250, 0.417), Sb at (0.335, 0.750, 0.052) and H at (0.123, 0.250, 0.803).

6.
Density functional theory data (PBE) for LaSiOs2 after structural relaxation.

The formation energy without anion corrections is 0.06 eV per atom.

The space group is P4mm (No. 99) and the conventional cell measures 3.017, 3.017 and 7.754 Å, with angles of 90.00, 90.00 and 90.00 degrees. The inequivalent atoms are La at (0.000, 0.000, 0.000), Si at (0.500, 0.500, 0.695), Os at (0.000, 0.000, 0.519) and Os at (0.500, 0.500, 0.302).

7.
Density functional theory data (PBE) for ZnSnPb3 after structural relaxation.

The value obtained for the formation enthalpy at 0 K is 0.34 eV per atom. The calculation puts the energy above the most stable polymorph in this dataset at 0.000 eV/atom.

The space group is Pm-3m (No. 221) and the conventional cell measures 5.411, 5.411 and 5.411 Å, with angles of 90.00, 90.00 and 90.00 degrees. The inequivalent atoms are Zn at (0.000, 0.000, 0.000), Sn at (0.500, 0.500, 0.500) and Pb at (0.000, 0.000, 0.500).

8.
Density functional theory data (PBE) for Na2Tm2Pb3 after structural relaxation.

The value obtained for the formation enthalpy at 0 K is -0.23 eV per atom.

The space group is P-1 (No. 2) and the conventional cell measures 4.908, 5.402 and 9.510 Å, with angles of 88.02, 75.08 and 63.00 degrees. The inequivalent atoms are Na at (0.217, 0.170, 0.396), Tm at (0.270, 0.591, 0.869), Pb at (0.022, 0.201, 0.757) and Pb at (0.500, 0.000, 0.000).

Number 1: raw total energy -4.94 eV per atom. Number 2: raw total energy -6.96 eV per atom. Number 3: raw total energy -6.60 eV per atom. Number 4: raw total energy -2.00 eV per atom. Number 5: raw total energy -5.75 eV per atom. Number 6: raw total energy -8.14 eV per atom. Number 7: raw total energy -2.94 eV per atom. Number 8: raw total energy -3.48 eV per atom.